Computed, not measured: crystalline BaBrCl2 at its relaxed geometry at the PBE-GGA level of DFT.

ΔE to the lowest computed polymorph = 63 meV per atom
Crystal system = monoclinic
Total moment = 1.013 Bohr magnetons per cell
Calculated density = 3.6 g cm⁻³
Total DFT energy (no corrections) = -3.46 eV per atom

Cell lengths 5.390, 5.390, 5.898 Å; angles 79.47, 79.47, 53.43 degrees
Fractional positions:
Ba1 0.750 0.750 0.750
Br1 0.250 0.250 0.250
Cl1 0.050 0.050 0.935
Cl2 0.450 0.450 0.565

---

Computed, not measured: crystalline SrCuNi4 at its relaxed geometry at the PBE-GGA level of DFT.

ΔE_f = 0.766 eV per formula unit
Crystal system = cubic
Total moment = 0.708 Bohr magnetons per cell
Calculated density = 7.4 g cm⁻³
Total DFT energy (no corrections) = -4.69 eV per atom

Cell lengths 4.972, 4.972, 4.972 Å; angles 60.00, 60.00, 60.00 degrees
Fractional positions:
Sr1 0.750 0.750 0.750
Cu1 0.000 0.000 0.000
Ni1 0.878 0.374 0.374
Ni2 0.374 0.374 0.878
Ni3 0.374 0.878 0.374
Ni4 0.374 0.374 0.374